No. 1
Density functional theory data (PBE) for RePb3W after structural relaxation.

a = 5.3214 Å, b = 5.3214 Å, c = 5.3214 Å
α = 90.00°, β = 90.00°, γ = 90.00°
Space group Pm-3m (No. 221)
Asymmetric unit:
Re: 0.0000 0.0000 0.0000 (multiplicity 1)
Pb: 0.0000 0.0000 0.5000 (multiplicity 3)
W: 0.5000 0.5000 0.5000 (multiplicity 1)

DFT formation energy: 162 kJ/mol of atoms
Energy: -5.625 eV/atom
Energy above the lowest structure with this stoichiometry: 0.000 eV/atom

***

No. 2
Density functional theory data (PBE) for Re2PbW after structural relaxation.

a = 9.5252 Å, b = 3.0841 Å, c = 4.9081 Å
α = 90.00°, β = 101.97°, γ = 90.00°
Space group Cm (No. 8)
Asymmetric unit:
Re: 0.0000 0.0000 0.0000 (multiplicity 2)
Re: 0.2343 0.5000 0.1936 (multiplicity 2)
Pb: 0.4985 0.0000 0.4948 (multiplicity 2)
W: 0.2640 0.0000 0.7841 (multiplicity 2)

DFT formation energy: 75 kJ/mol of atoms
Energy: -9.617 eV/atom

***

No. 3
Density functional theory data (PBE) for Re2PbW after structural relaxation.

a = 3.1748 Å, b = 4.4472 Å, c = 4.8846 Å
α = 90.00°, β = 90.00°, γ = 90.00°
Space group Pmmm (No. 47)
Asymmetric unit:
Re: 0.0000 0.0000 0.0000 (multiplicity 1)
Re: 0.5000 0.0000 0.5000 (multiplicity 1)
Pb: 0.0000 0.5000 0.5000 (multiplicity 1)
W: 0.5000 0.5000 0.0000 (multiplicity 1)

DFT formation energy: 97 kJ/mol of atoms
Energy: -9.384 eV/atom

***

No. 4
Density functional theory data (PBE) for RePbW4 after structural relaxation.

a = 7.5266 Å, b = 7.5266 Å, c = 7.5266 Å
α = 90.00°, β = 90.00°, γ = 90.00°
Space group F-43m (No. 216)
Asymmetric unit:
Re: 0.0000 0.0000 0.0000 (multiplicity 4)
Pb: 0.2500 0.2500 0.2500 (multiplicity 4)
W: 0.1239 0.1239 0.6239 (multiplicity 16)

DFT formation energy: 78 kJ/mol of atoms
Energy: -10.522 eV/atom

***

No. 5
Density functional theory data (PBE) for Zn2RePbW after structural relaxation.

a = 4.8468 Å, b = 4.8468 Å, c = 5.1695 Å
α = 90.00°, β = 90.00°, γ = 90.00°
Space group P4/mmm (No. 123)
Asymmetric unit:
Zn: 0.0000 0.5000 0.0000 (multiplicity 2)
Re: 0.0000 0.0000 0.0000 (multiplicity 1)
Pb: 0.0000 0.0000 0.5000 (multiplicity 1)
W: 0.5000 0.5000 0.5000 (multiplicity 1)

DFT formation energy: 173 kJ/mol of atoms
Energy: -4.540 eV/atom

***

No. 6
Density functional theory data (PBE) for YRePb2 after structural relaxation.

a = 3.4417 Å, b = 4.7019 Å, c = 12.4230 Å
α = 90.00°, β = 90.00°, γ = 90.00°
Space group Imm2 (No. 44)
Asymmetric unit:
Y: 0.0000 0.0000 0.0000 (multiplicity 2)
Re: 0.0000 0.5000 0.3072 (multiplicity 2)
Pb: 0.0000 0.0000 0.6149 (multiplicity 2)
Pb: 0.0000 0.5000 0.8147 (multiplicity 2)

DFT formation energy: 39 kJ/mol of atoms
Energy: -6.174 eV/atom
Energy above the lowest structure with this stoichiometry: 0.072 eV/atom

***

No. 7
Density functional theory data (PBE) for YRePb2 after structural relaxation.

a = 3.4141 Å, b = 3.4141 Å, c = 28.6047 Å
α = 90.00°, β = 90.00°, γ = 120.00°
Space group R-3m (No. 166, hexagonal axes)
Asymmetric unit:
Y: 0.0000 0.0000 0.0000 (multiplicity 3)
Re: 0.0000 0.0000 0.5000 (multiplicity 3)
Pb: 0.0000 0.0000 0.2387 (multiplicity 6)

DFT formation energy: 50 kJ/mol of atoms
Energy: -6.066 eV/atom
Energy above the lowest structure with this stoichiometry: 0.180 eV/atom

***

No. 8
Density functional theory data (PBE) for YRe3Pb after structural relaxation.

a = 4.9443 Å, b = 4.9443 Å, c = 4.9443 Å
α = 90.00°, β = 90.00°, γ = 90.00°
Space group Pm-3m (No. 221)
Asymmetric unit:
Y: 0.0000 0.0000 0.0000 (multiplicity 1)
Re: 0.0000 0.0000 0.5000 (multiplicity 3)
Pb: 0.5000 0.5000 0.5000 (multiplicity 1)

DFT formation energy: 278 kJ/mol of atoms
Energy: -6.619 eV/atom
Energy above the lowest structure with this stoichiometry: 0.459 eV/atom

***

No. 9
Density functional theory data (PBE) for YRePb4 after structural relaxation.

a = 8.8826 Å, b = 8.8826 Å, c = 8.8826 Å
α = 90.00°, β = 90.00°, γ = 90.00°
Space group F-43m (No. 216)
Asymmetric unit:
Y: 0.0000 0.0000 0.0000 (multiplicity 4)
Re: 0.2500 0.2500 0.2500 (multiplicity 4)
Pb: 0.1249 0.1249 0.6249 (multiplicity 16)

DFT formation energy: 85 kJ/mol of atoms
Energy: -4.740 eV/atom

***

No. 10
Density functional theory data (PBE) for YRePb2 after structural relaxation.

a = 3.4867 Å, b = 5.6634 Å, c = 9.8141 Å
α = 90.00°, β = 90.00°, γ = 90.00°
Space group Cmmm (No. 65)
Asymmetric unit:
Y: 0.0000 0.0000 0.0000 (multiplicity 2)
Re: 0.0000 0.0000 0.5000 (multiplicity 2)
Pb: 0.0000 0.5000 0.2766 (multiplicity 4)

DFT formation energy: 56 kJ/mol of atoms
Energy: -6.002 eV/atom
Energy above the lowest structure with this stoichiometry: 0.244 eV/atom

***

No. 11
Density functional theory data (PBE) for YRePb2 after structural relaxation.

a = 4.9638 Å, b = 3.6299 Å, c = 10.9326 Å
α = 90.00°, β = 90.00°, γ = 90.00°
Space group Amm2 (No. 38)
Asymmetric unit:
Y: 0.0000 0.0000 0.0000 (multiplicity 2)
Re: 0.5000 0.0000 0.4037 (multiplicity 2)
Pb: 0.0000 0.0000 0.2773 (multiplicity 2)
Pb: 0.5000 0.0000 0.6695 (multiplicity 2)

DFT formation energy: 42 kJ/mol of atoms
Energy: -6.142 eV/atom
Energy above the lowest structure with this stoichiometry: 0.103 eV/atom

***

No. 12
Density functional theory data (PBE) for YRePb2 after structural relaxation.

a = 3.4921 Å, b = 3.4921 Å, c = 7.5608 Å
α = 90.00°, β = 90.00°, γ = 90.00°
Space group P4/mmm (No. 123)
Asymmetric unit:
Y: 0.0000 0.0000 0.0000 (multiplicity 1)
Re: 0.0000 0.0000 0.5000 (multiplicity 1)
Pb: 0.5000 0.5000 0.2868 (multiplicity 2)

DFT formation energy: 39 kJ/mol of atoms
Energy: -6.182 eV/atom
Energy above the lowest structure with this stoichiometry: 0.064 eV/atom

***

- Which formula does entry 10 have?
  YRePb2

***

- Among the records above, which one has the highest DFT formation energy?
  YRe3Pb

***

- What is the energy in the second record?
  -9.617 eV/atom